A geometry-optimized TbTlHg structure, computed with PBE-GGA.

The structure in CIF format:
```
data_TbTlHg
_cell_length_a 5.2667
_cell_length_b 5.2667
_cell_length_c 6.4920
_cell_angle_alpha 90.00
_cell_angle_beta 90.00
_cell_angle_gamma 120.00
_symmetry_space_group_name_H-M 'P 63/m m c'
_symmetry_Int_Tables_number 194
_symmetry_space_group_name_Hall '-P 6c 2c'
loop_
_atom_site_label
_atom_site_type_symbol
_atom_site_fract_x
_atom_site_fract_y
_atom_site_fract_z
_atom_site_occupancy
Tb1 Tb 0.3333 0.6667 0.2500 1
Tl1 Tl 0.0000 0.0000 0.0000 1
Hg1 Hg 0.3333 0.6667 0.7500 1
```

Summary:
Its formation energy is -0.35 eV per atom. The raw total energy comes out at -8.4 eV per formula unit.

A geometry-optimized TbTlHg3 structure, computed with PBE-GGA.

The structure in CIF format:
```
data_TbTlHg3
_cell_length_a 16.8618
_cell_length_b 5.0565
_cell_length_c 6.5453
_cell_angle_alpha 90.00
_cell_angle_beta 112.11
_cell_angle_gamma 90.00
_symmetry_space_group_name_H-M 'C 1 2/m 1'
_symmetry_Int_Tables_number 12
loop_
_symmetry_equiv_pos_as_xyz
'x,y,z'
'-x,-y,-z'
'-x,y,-z'
'x,-y,z'
'x+1/2,y+1/2,z'
'-x+1/2,-y+1/2,-z'
'-x+1/2,y+1/2,-z'
'x+1/2,-y+1/2,z'
loop_
_atom_site_label
_atom_site_type_symbol
_atom_site_fract_x
_atom_site_fract_y
_atom_site_fract_z
_atom_site_occupancy
Tb1 Tb 0.1112 0.0000 0.4728 1
Tl1 Tl 0.2153 0.5000 0.8154 1
Hg1 Hg 0.0025 0.5000 0.7305 1
Hg2 Hg 0.0829 0.0000 0.9459 1
Hg3 Hg 0.1830 0.5000 0.2819 1
```

Summary:
Its formation energy is -0.20 eV per atom. The raw total energy comes out at -8.9 eV per formula unit.

A geometry-optimized Tb3Tl2Hg2 structure, computed with PBE-GGA.

The structure in CIF format:
```
data_Tb3Tl2Hg2
_cell_length_a 5.1061
_cell_length_b 5.2742
_cell_length_c 8.7573
_cell_angle_alpha 78.22
_cell_angle_beta 89.92
_cell_angle_gamma 61.17
_symmetry_space_group_name_H-M 'P -1'
_symmetry_Int_Tables_number 2
loop_
_symmetry_equiv_pos_as_xyz
'x,y,z'
'-x,-y,-z'
loop_
_atom_site_label
_atom_site_type_symbol
_atom_site_fract_x
_atom_site_fract_y
_atom_site_fract_z
_atom_site_occupancy
Tb1 Tb 0.0000 0.0000 0.0000 1
Tb2 Tb 0.2760 0.4476 0.7018 1
Tl1 Tl 0.3628 0.2747 0.1450 1
Hg1 Hg 0.0672 0.8666 0.3624 1
```

Summary:
Its formation energy is -0.32 eV per atom. The raw total energy comes out at -21.4 eV per formula unit.

A geometry-optimized Tb2Tl2Hg3 structure, computed with PBE-GGA.

The structure in CIF format:
```
data_Tb2Tl2Hg3
_cell_length_a 4.5412
_cell_length_b 23.2304
_cell_length_c 3.5330
_cell_angle_alpha 90.00
_cell_angle_beta 90.00
_cell_angle_gamma 90.00
_symmetry_space_group_name_H-M 'C m m m'
_symmetry_Int_Tables_number 65
_symmetry_space_group_name_Hall '-C 2 2'
loop_
_atom_site_label
_atom_site_type_symbol
_atom_site_fract_x
_atom_site_fract_y
_atom_site_fract_z
_atom_site_occupancy
Tb1 Tb 0.0000 0.1428 0.0000 1
Tl1 Tl 0.0000 0.2914 0.5000 1
Hg1 Hg 0.0000 0.0000 0.0000 1
Hg2 Hg 0.0000 0.4308 0.5000 1
```

Summary:
Its formation energy is -0.19 eV per atom. The raw total energy comes out at -16.2 eV per formula unit.

A geometry-optimized Tb4TlHg3 structure, computed with PBE-GGA.

The structure in CIF format:
```
data_Tb4TlHg3
_cell_length_a 3.8490
_cell_length_b 4.8428
_cell_length_c 11.7191
_cell_angle_alpha 90.00
_cell_angle_beta 90.00
_cell_angle_gamma 90.00
_symmetry_space_group_name_H-M 'P m m 2'
_symmetry_Int_Tables_number 25
loop_
_symmetry_equiv_pos_as_xyz
'x,y,z'
'-x,-y,z'
'-x,y,z'
'x,-y,z'
loop_
_atom_site_label
_atom_site_type_symbol
_atom_site_fract_x
_atom_site_fract_y
_atom_site_fract_z
_atom_site_occupancy
Tb1 Tb 0.0000 0.0000 0.0000 1
Tb2 Tb 0.0000 0.5000 0.2842 1
Tb3 Tb 0.5000 0.0000 0.4889 1
Tb4 Tb 0.5000 0.5000 0.7900 1
Tl1 Tl 0.0000 0.0000 0.7255 1
Hg1 Hg 0.0000 0.5000 0.5514 1
Hg2 Hg 0.5000 0.0000 0.2256 1
Hg3 Hg 0.5000 0.5000 0.0548 1
```

Summary:
Its formation energy is -0.42 eV per atom. The raw total energy comes out at -25.1 eV per formula unit.

A geometry-optimized Tb5Tl4Hg structure, computed with PBE-GGA.

The structure in CIF format:
```
data_Tb5Tl4Hg
_cell_length_a 3.7587
_cell_length_b 3.7587
_cell_length_c 19.3460
_cell_angle_alpha 90.00
_cell_angle_beta 90.00
_cell_angle_gamma 90.00
_symmetry_space_group_name_H-M 'P 4/m m m'
_symmetry_Int_Tables_number 123
_symmetry_space_group_name_Hall '-P 4 2'
loop_
_atom_site_label
_atom_site_type_symbol
_atom_site_fract_x
_atom_site_fract_y
_atom_site_fract_z
_atom_site_occupancy
Tb1 Tb 0.0000 0.0000 0.0000 1
Tb2 Tb 0.0000 0.0000 0.2026 1
Tb3 Tb 0.0000 0.0000 0.4055 1
Tl1 Tl 0.5000 0.5000 0.1011 1
Tl2 Tl 0.5000 0.5000 0.3044 1
Hg1 Hg 0.5000 0.5000 0.5000 1
```

Summary:
Its formation energy is -0.38 eV per atom. The raw total energy comes out at -36.7 eV per formula unit.

A geometry-optimized TbTlHg structure, computed with PBE-GGA.

The structure in CIF format:
```
data_TbTlHg
_cell_length_a 3.6798
_cell_length_b 3.6798
_cell_length_c 11.7487
_cell_angle_alpha 90.00
_cell_angle_beta 90.00
_cell_angle_gamma 90.00
_symmetry_space_group_name_H-M 'I 4 m m'
_symmetry_Int_Tables_number 107
_symmetry_space_group_name_Hall 'I 4 -2'
loop_
_atom_site_label
_atom_site_type_symbol
_atom_site_fract_x
_atom_site_fract_y
_atom_site_fract_z
_atom_site_occupancy
Tb1 Tb 0.0000 0.0000 0.0000 1
Tl1 Tl 0.0000 0.0000 0.3214 1
Hg1 Hg 0.0000 0.0000 0.6558 1
```

Summary:
Its formation energy is -0.26 eV per atom. The raw total energy comes out at -8.1 eV per formula unit.

A geometry-optimized Tb2TlHg3 structure, computed with PBE-GGA.

The structure in CIF format:
```
data_Tb2TlHg3
_cell_length_a 6.4196
_cell_length_b 15.3336
_cell_length_c 6.4254
_cell_angle_alpha 90.00
_cell_angle_beta 90.00
_cell_angle_gamma 90.00
_symmetry_space_group_name_H-M 'I b a m'
_symmetry_Int_Tables_number 72
_symmetry_space_group_name_Hall '-I 2 2c'
loop_
_atom_site_label
_atom_site_type_symbol
_atom_site_fract_x
_atom_site_fract_y
_atom_site_fract_z
_atom_site_occupancy
Tb1 Tb 0.2431 0.1576 0.0000 1
Tl1 Tl 0.0000 0.5000 0.2500 1
Hg1 Hg 0.0000 0.0000 0.2500 1
Hg2 Hg 0.2498 0.1453 0.5000 1
```

Summary:
Its formation energy is -0.32 eV per atom. The raw total energy comes out at -14.4 eV per formula unit.

A geometry-optimized Tb6Tl2Hg structure, computed with PBE-GGA.

The structure in CIF format:
```
data_Tb6Tl2Hg
_cell_length_a 16.3606
_cell_length_b 7.3218
_cell_length_c 5.1674
_cell_angle_alpha 90.00
_cell_angle_beta 108.33
_cell_angle_gamma 90.00
_symmetry_space_group_name_H-M 'C 1 2/m 1'
_symmetry_Int_Tables_number 12
loop_
_symmetry_equiv_pos_as_xyz
'x,y,z'
'-x,-y,-z'
'-x,y,-z'
'x,-y,z'
'x+1/2,y+1/2,z'
'-x+1/2,-y+1/2,-z'
'-x+1/2,y+1/2,-z'
'x+1/2,-y+1/2,z'
loop_
_atom_site_label
_atom_site_type_symbol
_atom_site_fract_x
_atom_site_fract_y
_atom_site_fract_z
_atom_site_occupancy
Tb1 Tb 0.0000 0.2422 0.0000 1
Tb2 Tb 0.1644 0.2459 0.6642 1
Tl1 Tl 0.1664 0.5000 0.1660 1
Hg1 Hg 0.0000 0.0000 0.5000 1
```

Summary:
Its formation energy is -0.06 eV per atom. The raw total energy comes out at -33.3 eV per formula unit.

A geometry-optimized TbTl3Hg12 structure, computed with PBE-GGA.

The structure in CIF format:
```
data_TbTl3Hg12
_cell_length_a 4.3494
_cell_length_b 4.8210
_cell_length_c 20.7301
_cell_angle_alpha 90.00
_cell_angle_beta 90.00
_cell_angle_gamma 90.00
_symmetry_space_group_name_H-M 'P m m m'
_symmetry_Int_Tables_number 47
loop_
_symmetry_equiv_pos_as_xyz
'x,y,z'
'-x,-y,-z'
'-x,-y,z'
'x,y,-z'
'x,-y,-z'
'-x,y,z'
'-x,y,-z'
'x,-y,z'
loop_
_atom_site_label
_atom_site_type_symbol
_atom_site_fract_x
_atom_site_fract_y
_atom_site_fract_z
_atom_site_occupancy
Tb1 Tb 0.0000 0.0000 0.0000 1
Tl1 Tl 0.0000 0.0000 0.2405 1
Tl2 Tl 0.0000 0.0000 0.5000 1
Hg1 Hg 0.0000 0.5000 0.1144 1
Hg2 Hg 0.0000 0.5000 0.3690 1
Hg3 Hg 0.5000 0.0000 0.1144 1
Hg4 Hg 0.5000 0.0000 0.3685 1
Hg5 Hg 0.5000 0.5000 0.0000 1
Hg6 Hg 0.5000 0.5000 0.2392 1
Hg7 Hg 0.5000 0.5000 0.5000 1
```

Summary:
Its formation energy is -0.09 eV per atom. The raw total energy comes out at -16.8 eV per formula unit.

A geometry-optimized Tb2TlHg2 structure, computed with PBE-GGA.

The structure in CIF format:
```
data_Tb2TlHg2
_cell_length_a 8.2326
_cell_length_b 8.2326
_cell_length_c 3.9296
_cell_angle_alpha 90.00
_cell_angle_beta 90.00
_cell_angle_gamma 90.00
_symmetry_space_group_name_H-M 'P 4/m b m'
_symmetry_Int_Tables_number 127
_symmetry_space_group_name_Hall '-P 4 2ab'
loop_
_atom_site_label
_atom_site_type_symbol
_atom_site_fract_x
_atom_site_fract_y
_atom_site_fract_z
_atom_site_occupancy
Tb1 Tb 0.1709 0.3291 0.0000 1
Tl1 Tl 0.0000 0.0000 0.5000 1
Hg1 Hg 0.1278 0.6278 0.5000 1
```

Summary:
Its formation energy is -0.38 eV per atom. The raw total energy comes out at -14.1 eV per formula unit.